Ba2Tl2Mo3O10: optimized geometry, PBE with a Hubbard U.

```
Ba2Tl2Mo3O10
1.0
3.957 0.000 0.000
-0.001 3.983 0.000
-1.438 -0.008 17.631
Ba Tl Mo O
2 2 3 10
Direct
0.000 0.000 0.000
0.257 0.503 0.572
0.395 0.500 0.850
0.887 0.000 0.719
0.507 0.502 0.292
0.547 0.500 0.137
0.708 0.003 0.432
0.047 0.500 0.113
0.053 0.503 0.283
0.070 0.000 0.851
0.185 0.003 0.438
0.503 0.499 0.735
0.504 0.500 0.971
0.551 0.001 0.132
0.579 0.002 0.313
0.674 0.503 0.413
0.705 0.005 0.544
```

Results
- Final energy: -6.18 eV per atom
- Symmetry: P1, No. 1